# 1
A plane-wave DFT calculation with GGA-PBEsol was carried out for a relaxed structure of Cd2InAg.

## Properties
N(E_F): 1.30 states/eV/f.u.
E_form: 0.01 eV/atom
Symmetry: Cm, No. 8

Lattice parameters (Å, degrees): 3.1315 5.0613 5.5097 100.84 90.00 108.02
Positions (direct):
In (0.4950, 0.9900, 0.4853)
Ag (0.7480, 0.4959, 0.2462)
Cd (0.0049, 0.0097, 0.0063)
Cd (0.2522, 0.5044, 0.7622)



# 2
A plane-wave DFT calculation with GGA-PBEsol was carried out for a relaxed structure of HgSbOs2.

## Properties
N(E_F): 3.30 states/eV/f.u.
Distance to the lowest polymorph of the same formula: 299.3 meV/atom
Energy relative to the elements, uncorrected: 0.763 eV/atom
Symmetry: Imm2, No. 44

Lattice parameters (Å, degrees): 2.9213 4.5126 6.1655 111.47 103.70 90.00
Positions (direct):
Hg (0.2406, 0.7406, 0.4812)
Os (0.0523, 0.0523, 0.1047)
Os (0.7452, 0.2452, 0.4904)
Sb (0.4619, 0.4619, 0.9237)



# 3
A plane-wave DFT calculation with GGA-PBEsol was carried out for a relaxed structure of Sr3Au.

## Properties
N(E_F): 4.83 states/eV/f.u.
E_form: -0.33 eV/atom
Symmetry: Imm2, No. 44

Lattice parameters (Å, degrees): 4.1068 6.9435 6.9435 61.37 72.80 72.80
Positions (direct):
Sr (0.5000, 0.3740, 0.6260)
Sr (0.6808, 0.6903, 0.9481)
Sr (0.3192, 0.0519, 0.3097)
Au (0.0000, 0.0505, 0.9495)



# 4
A plane-wave DFT calculation with GGA-PBEsol was carried out for a relaxed structure of ScNb2NiF.

## Properties
N(E_F): 9.30 states/eV/f.u.
Energy relative to the elements, uncorrected: 0.517 eV/atom
Symmetry: P4/mmm, No. 123

Lattice parameters (Å, degrees): 3.7113 4.8409 4.8409 90.00 90.00 90.00
Positions (direct):
Sc (0.5000, 0.5000, 0.5000)
Ni (0.0000, 0.0000, 0.0000)
Nb (0.0000, 0.0000, 0.5000)
Nb (0.0000, 0.5000, 0.0000)
F (0.5000, 0.0000, 0.0000)